*one*
A plane-wave DFT calculation with GGA-PBE was carried out for a geometry-optimized BaMnTc2 structure.

Cell and atoms, written as POSCAR:
```
BaMnTc2
1.0
3.1439 0.0000 0.0000
0.0000 3.1889 0.0000
-0.0082 0.0000 7.8964
Ba Mn Tc
1 1 2
direct
0.0000 0.0000 0.0000
0.0000 0.0000 0.5000
0.4985 0.5000 0.3447
0.5015 0.5000 0.6553
```

---

*two*
A plane-wave DFT calculation with GGA-PBE was carried out for a geometry-optimized BaMnTc2 structure.

Cell and atoms, written as POSCAR:
```
BaMnTc2
1.0
4.2425 0.0000 0.0000
-2.1212 3.6741 0.0000
0.0000 0.0000 18.3033
Ba Mn Tc
3 3 6
direct
0.0000 0.0000 0.0000
0.3333 0.6667 0.6667
0.6667 0.3333 0.3333
0.0000 0.0000 0.5000
0.3333 0.6667 0.1667
0.6667 0.3333 0.8333
0.0000 0.0000 0.1912
0.0000 0.0000 0.8088
0.3333 0.6667 0.4755
0.3333 0.6667 0.8578
0.6667 0.3333 0.1422
0.6667 0.3333 0.5245
```

---

Which of them is most stable? Easy: *two*.